Below is a relaxed structure of Sm3CuSe2, with properties calculated at the PBE level.

Cell: 5.891 8.378 12.437 Å, 90.00 90.00 90.00°
Positions (direct):
Sm 0.250 0.620 0.579
Sm 0.250 0.120 0.921
Sm 0.250 0.626 0.914
Sm 0.250 0.126 0.586
Sm 0.250 0.632 0.248
Sm 0.250 0.132 0.252
Sm 0.750 0.868 0.748
Sm 0.750 0.368 0.752
Sm 0.750 0.874 0.414
Sm 0.750 0.374 0.086
Sm 0.750 0.880 0.079
Sm 0.750 0.380 0.421
Cu 0.250 0.879 0.086
Cu 0.250 0.379 0.414
Cu 0.750 0.621 0.586
Cu 0.750 0.121 0.914
Se 0.250 0.873 0.747
Se 0.250 0.373 0.753
Se 0.250 0.879 0.417
Se 0.250 0.379 0.083
Se 0.750 0.621 0.917
Se 0.750 0.121 0.583
Se 0.750 0.627 0.247
Se 0.750 0.127 0.253

Output
Size of the total moment ... 0.00 μB/f.u.
Final energy ... -5.450 eV per atom
Crystal system ... orthorhombic

***

Below is a relaxed structure of Sm3CuSe6, with properties calculated at the PBE level.

Cell: 17.117 7.225 7.950 Å, 89.41 90.00 90.00°
Positions (direct):
Sm 0.750 0.763 0.442
Sm 0.587 0.256 0.558
Sm 0.409 0.273 0.943
Sm 0.091 0.273 0.943
Sm 0.909 0.727 0.057
Sm 0.750 0.234 0.944
Sm 0.413 0.744 0.442
Sm 0.087 0.744 0.442
Sm 0.591 0.727 0.057
Sm 0.250 0.237 0.558
Sm 0.250 0.766 0.056
Sm 0.913 0.256 0.558
Cu 0.471 0.896 0.797
Cu 0.971 0.104 0.203
Cu 0.529 0.104 0.203
Cu 0.029 0.896 0.797
Se 0.581 0.108 0.909
Se 0.081 0.892 0.091
Se 0.250 0.886 0.397
Se 0.176 0.432 0.251
Se 0.419 0.892 0.091
Se 0.823 0.421 0.255
Se 0.000 0.572 0.747
Se 0.676 0.568 0.749
Se 0.824 0.568 0.749
Se 0.750 0.873 0.096
Se 0.419 0.115 0.598
Se 0.500 0.428 0.253
Se 0.919 0.885 0.402
Se 0.177 0.579 0.745
Se 0.750 0.114 0.603
Se 0.500 0.572 0.747
Se 0.677 0.421 0.255
Se 0.581 0.885 0.402
Se 0.324 0.432 0.251
Se 0.323 0.579 0.745
Se 0.000 0.428 0.253
Se 0.081 0.115 0.598
Se 0.250 0.127 0.904
Se 0.919 0.108 0.909

Output
Energy above the most stable polymorph in this dataset ... 0.0000 eV/atom
Size of the total moment ... 0.00 μB/f.u.
Final energy ... -5.385 eV per atom
Crystal system ... monoclinic

***

Below is a relaxed structure of SmCuSe2, with properties calculated at the PBE level.

Cell: 7.441 6.691 7.180 Å, 83.69 90.00 90.00°
Positions (direct):
Sm 0.544 0.306 0.299
Sm 0.044 0.694 0.201
Sm 0.456 0.694 0.701
Sm 0.956 0.306 0.799
Cu 0.840 0.930 0.545
Cu 0.160 0.070 0.455
Cu 0.660 0.930 0.045
Cu 0.340 0.070 0.955
Se 0.724 0.577 0.002
Se 0.776 0.577 0.502
Se 0.224 0.423 0.498
Se 0.276 0.423 0.998
Se 0.612 0.099 0.720
Se 0.112 0.901 0.780
Se 0.388 0.901 0.280
Se 0.888 0.099 0.220

Output
Size of the total moment ... 0.00 μB/f.u.
Final energy ... -5.185 eV per atom
Crystal system ... monoclinic

***

Below is a relaxed structure of Sm3CuSe6, with properties calculated at the PBE level.

Cell: 7.231 7.925 17.122 Å, 90.00 90.00 90.00°
Positions (direct):
Sm 0.264 0.943 0.247
Sm 0.736 0.057 0.747
Sm 0.264 0.557 0.747
Sm 0.736 0.443 0.247
Sm 0.226 0.556 0.412
Sm 0.774 0.444 0.912
Sm 0.244 0.940 0.590
Sm 0.756 0.060 0.090
Sm 0.756 0.440 0.590
Sm 0.244 0.560 0.090
Sm 0.774 0.056 0.412
Sm 0.226 0.944 0.912
Cu 0.402 0.210 0.477
Cu 0.598 0.790 0.977
Cu 0.598 0.710 0.477
Cu 0.402 0.290 0.977
Se 0.074 0.248 0.501
Se 0.926 0.752 0.001
Se 0.926 0.748 0.501
Se 0.074 0.252 0.001
Se 0.074 0.251 0.322
Se 0.926 0.749 0.822
Se 0.073 0.247 0.674
Se 0.927 0.753 0.174
Se 0.927 0.747 0.674
Se 0.073 0.253 0.174
Se 0.926 0.751 0.322
Se 0.074 0.249 0.822
Se 0.388 0.910 0.417
Se 0.612 0.090 0.917
Se 0.384 0.595 0.580
Se 0.616 0.405 0.080
Se 0.616 0.095 0.580
Se 0.384 0.905 0.080
Se 0.612 0.410 0.417
Se 0.388 0.590 0.917
Se 0.380 0.599 0.251
Se 0.620 0.401 0.751
Se 0.380 0.901 0.751
Se 0.620 0.099 0.251

Output
Energy above the most stable polymorph in this dataset ... 0.0028 eV/atom
Size of the total moment ... 0.00 μB/f.u.
Final energy ... -5.382 eV per atom
Crystal system ... orthorhombic

***

Values for energy relative to the elements, uncorrected, eV per atom, ordered as above
-1.25; -1.47; -1.24; -1.47